Crystalline MnMoPt at its relaxed geometry. Source: Alexandria, functional PBE.

## Properties
V: 87.9 Å³/cell
E: -51.41 eV/cell
Relative energy among the computed polymorphs: 0.239 eV per atom
Formation energy from the elements: 10.8 kJ per mole of atoms

Cell: 5.558 2.686 6.194 Å, 90.00 108.00 90.00°
Space group P2_1/m (No. 11)
Asymmetric unit:
Mn1 0.165 0.250 0.476 (multiplicity 2)
Mo1 0.429 0.750 0.261 (multiplicity 2)
Pt1 0.138 0.250 0.876 (multiplicity 2)

Crystalline La2PSe at its relaxed geometry. Source: Alexandria, functional PBE.

## Properties
Formation energy (no corrections): -1.521 eV/atom
V: 396.3 Å³/cell
E: -99.34 eV/cell
Relative energy among the computed polymorphs: 0.342 eV per atom

Cell: 7.345 7.345 7.345 Å, 90.00 90.00 90.00°
Space group Fm-3m (No. 225)
Asymmetric unit:
La1 0.250 0.250 0.250 (multiplicity 8)
P1 0.000 0.000 0.000 (multiplicity 4)
Se1 0.000 0.000 0.500 (multiplicity 4)

Crystalline Ba3CaSb2O9 at its relaxed geometry. Source: Alexandria, functional PBE.

## Properties
Formation energy (no corrections): -2.319 eV/atom
V: 227.4 Å³/cell
E: -95.42 eV/cell
Relative energy among the computed polymorphs: 0.025 eV per atom

Cell: 5.9720 5.9720 7.3636 Å, 90.00 90.00 120.00°
Space group P-3m1 (No. 164)
Asymmetric unit:
Ba1 0.0000 0.0000 0.0000 (multiplicity 1)
Ba2 0.3333 0.6667 0.6615 (multiplicity 2)
Ca1 0.0000 0.0000 0.5000 (multiplicity 1)
Sb1 0.3333 0.6667 0.1667 (multiplicity 2)
O1 0.0000 0.5000 0.0000 (multiplicity 3)
O2 0.1753 0.3505 0.3135 (multiplicity 6)

Crystalline NaNbPd14 at its relaxed geometry. Source: Alexandria, functional PBE.

## Properties
V: 250.3 Å³/cell
E: -86.17 eV/cell
Formation energy from the elements: -12.6 kJ per mole of atoms

Cell: 5.668 5.668 7.792 Å, 90.00 90.00 90.00°
Space group P4/mmm (No. 123)
Asymmetric unit:
Na1 0.000 0.000 0.000 (multiplicity 1)
Nb1 0.500 0.500 0.000 (multiplicity 1)
Pd1 0.000 0.000 0.500 (multiplicity 1)
Pd2 0.000 0.500 0.000 (multiplicity 2)
Pd3 0.000 0.500 0.500 (multiplicity 2)
Pd4 0.255 0.255 0.248 (multiplicity 8)
Pd5 0.500 0.500 0.500 (multiplicity 1)

Crystalline B5C7 at its relaxed geometry. Source: Alexandria, functional PBE.

## Properties
V: 98.2 Å³/cell
E: -94.50 eV/cell
Relative energy among the computed polymorphs: 0.030 eV per atom
Formation energy from the elements: 27.8 kJ per mole of atoms

Cell: 4.663 2.673 7.877 Å, 90.00 91.24 90.00°
Space group Pm (No. 6)
Asymmetric unit:
B1 0.000 0.000 0.000 (multiplicity 1)
B2 0.009 0.000 0.529 (multiplicity 1)
B3 0.498 0.500 0.002 (multiplicity 1)
B4 0.513 0.500 0.534 (multiplicity 1)
B5 0.671 0.000 0.306 (multiplicity 1)
C1 0.172 0.500 0.295 (multiplicity 1)
C2 0.177 0.500 0.498 (multiplicity 1)
C3 0.333 0.000 0.025 (multiplicity 1)
C4 0.334 0.000 0.231 (multiplicity 1)
C5 0.678 0.000 0.523 (multiplicity 1)
C6 0.833 0.500 0.027 (multiplicity 1)
C7 0.853 0.500 0.228 (multiplicity 1)

Crystalline RbRe3Ni at its relaxed geometry. Source: Alexandria, functional PBE.

## Properties
V: 99.4 Å³/cell
E: -22.69 eV/cell
Relative energy among the computed polymorphs: 1.908 eV per atom
Formation energy from the elements: 413.0 kJ per mole of atoms

Cell: 4.632 4.632 4.632 Å, 90.00 90.00 90.00°
Space group Pm-3m (No. 221)
Asymmetric unit:
Rb1 0.000 0.000 0.000 (multiplicity 1)
Re1 0.000 0.000 0.500 (multiplicity 3)
Ni1 0.500 0.500 0.500 (multiplicity 1)

Crystalline Y2C at its relaxed geometry. Source: Alexandria, functional PBE.

## Properties
V: 57.9 Å³/cell
E: -16.71 eV/cell
Formation energy from the elements: 175.0 kJ per mole of atoms

Cell: 4.7469 4.7469 2.9661 Å, 90.00 90.00 120.00°
Space group P6/mmm (No. 191)
Asymmetric unit:
Y1 0.3333 0.6667 0.0000 (multiplicity 2)
C1 0.0000 0.0000 0.5000 (multiplicity 1)

Crystalline AcTbCuPd at its relaxed geometry. Source: Alexandria, functional PBE.

## Properties
V: 395.9 Å³/cell
E: -78.81 eV/cell
Formation energy from the elements: -40.4 kJ per mole of atoms

Cell: 7.343 7.343 7.343 Å, 90.00 90.00 90.00°
Space group F-43m (No. 216)
Asymmetric unit:
Ac1 0.000 0.000 0.000 (multiplicity 4)
Tb1 0.000 0.000 0.500 (multiplicity 4)
Cu1 0.250 0.250 0.250 (multiplicity 4)
Pd1 0.250 0.250 0.750 (multiplicity 4)

Crystalline GeTeO2 at its relaxed geometry. Source: Alexandria, functional PBE.

## Properties
Formation energy (no corrections): -0.679 eV/atom
V: 270.9 Å³/cell
E: -81.57 eV/cell
Relative energy among the computed polymorphs: 0.260 eV per atom

Cell: 5.762 5.762 8.158 Å, 90.00 90.00 90.00°
Space group I-42d (No. 122)
Asymmetric unit:
Ge1 0.000 0.000 0.000 (multiplicity 4)
Te1 0.000 0.000 0.500 (multiplicity 4)
O1 0.001 0.750 0.125 (multiplicity 8)

Crystalline Pm6Dy2Ho3Er at its relaxed geometry. Source: Alexandria, functional PBE.

## Properties
V: 780.9 Å³/cell
E: -111.70 eV/cell
Formation energy from the elements: 1.2 kJ per mole of atoms

Cell: 6.229 10.787 11.803 Å, 90.00 100.09 90.00°
Space group C2/m (No. 12)
Asymmetric unit:
Pm1 0.249 0.000 0.250 (multiplicity 4)
Pm2 0.250 0.167 0.750 (multiplicity 8)
Dy1 0.000 0.333 0.500 (multiplicity 4)
Ho1 0.000 0.167 0.000 (multiplicity 4)
Ho2 0.000 0.500 0.000 (multiplicity 2)
Er1 0.000 0.000 0.500 (multiplicity 2)

Crystalline Cs3SeI at its relaxed geometry. Source: Alexandria, functional PBE.

## Properties
Formation energy (no corrections): -1.150 eV/atom
V: 328.1 Å³/cell
E: -13.35 eV/cell
Relative energy among the computed polymorphs: 0.032 eV per atom

Cell: 6.897 6.897 6.897 Å, 90.00 90.00 90.00°
Space group Pm-3m (No. 221)
Asymmetric unit:
Cs1 0.000 0.000 0.500 (multiplicity 3)
Se1 0.000 0.000 0.000 (multiplicity 1)
I1 0.500 0.500 0.500 (multiplicity 1)

Crystalline Mg6GaRh5 at its relaxed geometry. Source: Alexandria, functional PBE.

## Properties
V: 371.4 Å³/cell
E: -110.57 eV/cell
Formation energy from the elements: -47.7 kJ per mole of atoms

Cell: 4.399 6.470 13.050 Å, 90.00 90.00 90.00°
Space group Immm (No. 71)
Asymmetric unit:
Mg1 0.000 0.225 0.000 (multiplicity 4)
Mg2 0.000 0.263 0.327 (multiplicity 8)
Ga1 0.000 0.000 0.500 (multiplicity 2)
Rh1 0.000 0.000 0.170 (multiplicity 4)
Rh2 0.000 0.500 0.151 (multiplicity 4)
Rh3 0.000 0.500 0.500 (multiplicity 2)